Record 1
Na2RePdO6 | PBE | optimized geometry Values from VASP.

```
&SYSTEM
  ibrav = 0, nat = 20, ntyp = 4
/
ATOMIC_SPECIES
Na 22.99 Na.upf
Re 186.21 Re.upf
Pd 106.42 Pd.upf
O 16.00 O.upf
ATOMIC_POSITIONS crystal
Na 0.239 0.047 0.249
Na 0.239 0.453 0.749
Na 0.761 0.547 0.251
Na 0.761 0.953 0.751
Re 0.500 0.000 0.000
Re 0.500 0.500 0.500
Pd 0.000 0.000 0.500
Pd 0.000 0.500 0.000
O 0.165 0.192 0.953
O 0.165 0.308 0.453
O 0.264 0.712 0.949
O 0.264 0.788 0.449
O 0.356 0.027 0.761
O 0.356 0.473 0.261
O 0.644 0.527 0.739
O 0.644 0.973 0.239
O 0.736 0.212 0.551
O 0.736 0.288 0.051
O 0.835 0.692 0.547
O 0.835 0.808 0.047
CELL_PARAMETERS angstrom
5.354 0.000 0.000
0.000 5.447 0.000
-5.345 0.000 7.631
```

Computed properties:
As for the total energy: -6.286 eV/atom. The magnetization comes out at 0.000 μB/f.u.


Record 2
Zr4Ta2Cu3C3 | PBE | optimized geometry Values from VASP.

```
&SYSTEM
  ibrav = 0, nat = 24, ntyp = 4
/
ATOMIC_SPECIES
Zr 91.22 Zr.upf
Ta 180.95 Ta.upf
Cu 63.55 Cu.upf
C 12.01 C.upf
ATOMIC_POSITIONS crystal
Zr 0.042 0.194 0.103
Zr 0.123 0.299 0.397
Zr 0.194 0.042 0.603
Zr 0.299 0.123 0.897
Zr 0.701 0.877 0.103
Zr 0.806 0.958 0.397
Zr 0.877 0.701 0.603
Zr 0.958 0.806 0.897
Ta 0.352 0.528 0.080
Ta 0.472 0.648 0.420
Ta 0.528 0.352 0.580
Ta 0.648 0.472 0.920
Cu 0.150 0.850 0.250
Cu 0.321 0.414 0.750
Cu 0.414 0.321 0.250
Cu 0.586 0.679 0.750
Cu 0.679 0.586 0.250
Cu 0.850 0.150 0.750
C 0.000 0.500 0.000
C 0.175 0.662 0.500
C 0.338 0.825 0.000
C 0.500 0.000 0.500
C 0.662 0.175 0.000
C 0.825 0.338 0.500
CELL_PARAMETERS angstrom
4.882 -2.813 0.000
4.882 2.813 0.000
-3.330 0.000 13.451
```

Computed properties:
As for the total energy: -8.454 eV/atom. The magnetization comes out at 0.012 μB/f.u.


Record 3
SrTe2Os4 | PBE | optimized geometry Values from VASP.

```
&SYSTEM
  ibrav = 0, nat = 7, ntyp = 3
/
ATOMIC_SPECIES
Sr 87.62 Sr.upf
Te 127.60 Te.upf
Os 190.23 Os.upf
ATOMIC_POSITIONS crystal
Sr 0.000 0.000 0.000
Te 0.000 0.500 0.500
Te 0.500 0.000 0.500
Os 0.334 0.666 0.000
Os 0.345 0.345 0.500
Os 0.655 0.655 0.500
Os 0.666 0.334 0.000
CELL_PARAMETERS angstrom
4.368 -5.108 0.000
4.368 5.108 0.000
0.000 0.000 3.125
```

Computed properties:
As for the total energy: -7.010 eV/atom. The magnetization comes out at 0.013 μB/f.u.


Record 4
Cu2AgAs2 | PBE | optimized geometry Values from VASP.

```
&SYSTEM
  ibrav = 0, nat = 10, ntyp = 3
/
ATOMIC_SPECIES
Cu 63.55 Cu.upf
Ag 107.87 Ag.upf
As 74.92 As.upf
ATOMIC_POSITIONS crystal
Cu 0.250 0.250 0.146
Cu 0.250 0.750 0.500
Cu 0.750 0.250 0.500
Cu 0.750 0.750 0.854
Ag 0.250 0.250 0.731
Ag 0.750 0.750 0.269
As 0.250 0.250 0.361
As 0.250 0.750 0.000
As 0.750 0.250 0.000
As 0.750 0.750 0.639
CELL_PARAMETERS angstrom
3.957 0.000 0.000
0.000 3.957 0.000
0.000 0.000 10.815
```

Computed properties:
As for the total energy: -3.778 eV/atom.